(1)
TbFeBr | Alexandria | PBE | optimized geometry; formation energy without anion corrections = -0.9289 eV per atom
1.0
1.9440 1.1224 11.6629
-1.9440 1.1224 11.6629
0.0000 -2.2447 11.6629
Tb Fe Br
2 2 2
Cartesian
0.0000 0.0000 1.9812
0.0000 0.0000 33.0076
0.0000 0.0000 11.7292
0.0000 0.0000 23.2597
0.0000 0.0000 7.7526
0.0000 0.0000 27.2362

***

(2)
MgIn2Pd6 | Alexandria | PBE | optimized geometry; formation enthalpy at 0 K = -263 meV/atom
1.0
6.8592 -3.0917 0.0000
6.8592 3.0917 0.0000
-1.3102 0.0000 4.0777
Mg In Pd
1 2 6
Cartesian
0.0000 0.0000 0.0000
4.1922 0.0000 1.3705
8.2161 0.0000 2.7072
3.4979 1.6104 3.3980
6.2041 1.6241 2.0389
8.9104 1.6104 0.6798
3.4979 -1.6104 3.3980
6.2041 -1.6241 2.0389
8.9104 -1.6104 0.6798

***

(3)
Cs6K8Li | Alexandria | PBE | optimized geometry; formation enthalpy at 0 K = 42 meV/atom
1.0
6.6497 3.8392 8.3886
-6.6497 3.8392 8.3886
0.0000 -7.6784 8.3886
Cs K Li
6 8 1
Cartesian
-1.7711 -2.4637 10.3012
-3.0191 0.3020 14.8645
-1.2480 2.7657 10.3012
1.2480 -2.7657 14.8645
3.0192 -0.3020 10.3012
1.7711 2.4637 14.8645
-5.7486 1.0478 10.6736
-3.7817 -4.4545 14.4921
0.0000 0.0000 5.9557
1.9669 -5.5024 10.6736
-1.9669 5.5023 14.4921
0.0000 0.0000 19.2100
3.7817 4.4545 10.6736
5.7486 -1.0478 14.4921
0.0000 0.0000 0.0000

***

(4)
BeAlSi | Alexandria | PBE | optimized geometry; formation energy without anion corrections = 0.1912 eV per atom
1.0
3.7371 0.0000 0.0000
-0.0026 4.0526 0.0000
-1.8539 -0.9569 5.6016
Be Al Si
2 2 2
Cartesian
0.0000 0.0000 0.0000
0.0097 0.2566 5.3023
0.0059 2.3670 3.7544
1.8668 3.6208 1.5286
-0.0048 1.9535 1.2088
1.8775 0.5180 3.8493

***

M_tot values, unit μB per cell, following the record order: 1.88; 0.00; 0.00; 0.00.